1.
Compound: TaC
Source: Alexandria via LeMat-Bulk
Functional: PBE
Structure: relaxed

Cell: 4.7444 4.7444 5.6696 Å, 90.00 90.00 120.00°
Closest atoms and distances in Å follow each position.
Fractional positions:
Ta (0.0000, 0.0000, 0.2500)  5 Ta 2.74-2.83, 6 C 2.82
Ta (0.0000, 0.0000, 0.7500)  5 Ta 2.74-2.83, 6 C 2.82
Ta (0.3333, 0.6667, 0.2500)  2 C 2.17
Ta (0.6667, 0.3333, 0.7500)  2 C 2.17
C (0.3333, 0.6667, 0.6323)  1 C 1.33
C (0.3333, 0.6667, 0.8677)  1 C 1.33
C (0.6667, 0.3333, 0.1323)  1 C 1.33
C (0.6667, 0.3333, 0.3677)  1 C 1.33

Values from the calculation:
Distance to the lowest polymorph of the same formula (meV per atom): 1894.4
Energy of formation from the pure elements (eV/atom): 1.317
Density of states at the Fermi level (states/eV/cell): 9.7
Calculated density (g/cm3): 11.60
E (eV per atom): -9.2213
Symmetry: P6_3/mmc
Calculated volume (A^3/atom): 13.8

---

2.
Compound: Ta2C
Source: Alexandria via LeMat-Bulk
Functional: PBE
Structure: relaxed

Cell: 5.4480 5.4480 5.4480 Å, 149.78 149.78 43.27°
Closest atoms and distances in Å follow each position.
Fractional positions:
Ta (0.1308, 0.1308, 0.0000)  4 C 2.41, 1 Ta 2.65
Ta (0.8692, 0.8692, 0.0000)  4 C 2.41, 1 Ta 2.65
C (0.5000, 0.5000, 0.0000)  8 Ta 2.41

Values from the calculation:
Energy of formation from the pure elements (eV/atom): 0.268
Density of states at the Fermi level (states/eV/cell): 2.4
Calculated density (g/cm3): 15.20
E (eV per atom): -10.7083
Symmetry: I4/mmm
Calculated volume (A^3/atom): 13.6

---

3.
Compound: Ta4C3
Source: Alexandria via LeMat-Bulk
Functional: PBE
Structure: relaxed

Cell: 10.4394 10.4394 10.4394 Å, 17.24 17.24 17.24°
Closest atoms and distances in Å follow each position.
Fractional positions:
Ta (0.0000, 0.0000, 0.0000)  6 C 2.26-2.27
Ta (0.1636, 0.1636, 0.1636)  3 C 2.20
Ta (0.5787, 0.5787, 0.5787)  6 C 2.21-2.25
Ta (0.7488, 0.7488, 0.7488)  3 C 2.16
C (0.2886, 0.2886, 0.2886)  6 Ta 2.25-2.27
C (0.3772, 0.3772, 0.3772)  6 Ta 2.16-2.26
C (0.8708, 0.8708, 0.8708)  6 Ta 2.20-2.21

Values from the calculation:
Distance to the lowest polymorph of the same formula (meV per atom): 0.0
Energy of formation from the pure elements (eV/atom): -0.556
Density of states at the Fermi level (states/eV/cell): 1.0
Calculated density (g/cm3): 14.46
E (eV per atom): -11.2821
Symmetry: R3m
Calculated volume (A^3/atom): 12.5

---

4.
Compound: TaC2
Source: Alexandria via LeMat-Bulk
Functional: PBE
Structure: relaxed

Cell: 3.2132 3.2132 3.1167 Å, 90.00 90.00 90.00°
Closest atoms and distances in Å follow each position.
Fractional positions:
Ta (0.0000, 0.0000, 0.0000)  8 C 2.24
C (0.0000, 0.5000, 0.5000)  4 Ta 2.24, 4 C 2.27
C (0.5000, 0.0000, 0.5000)  4 Ta 2.24, 4 C 2.27

Values from the calculation:
Distance to the lowest polymorph of the same formula (meV per atom): 777.1
Energy of formation from the pure elements (eV/atom): 0.982
Density of states at the Fermi level (states/eV/cell): 1.4
Calculated density (g/cm3): 10.58
E (eV per atom): -9.1184
Symmetry: P4/mmm
Calculated volume (A^3/atom): 10.7

---

5.
Compound: Ta5C7
Source: Alexandria via LeMat-Bulk
Functional: PBE
Structure: relaxed

Cell: 5.6381 5.6381 5.6381 Å, 105.03 105.03 118.78°
Closest atoms and distances in Å follow each position.
Fractional positions:
Ta (0.0000, 0.0000, 0.0000)  5 C 2.09-2.34
Ta (0.3086, 0.3086, 0.5905)  5 C 2.16-2.33
Ta (0.3086, 0.7180, 0.0000)  5 C 2.16-2.33
Ta (0.7180, 0.3086, 0.0000)  5 C 2.16-2.33
Ta (0.7180, 0.7180, 0.4095)  5 C 2.16-2.33
C (0.1189, 0.8146, 0.3043)  1 C 1.41
C (0.3648, 0.3648, 0.0000)  5 Ta 2.09-2.16
C (0.3908, 0.8908, 0.5000)  2 C 1.41
C (0.5103, 0.8146, 0.6957)  1 C 1.41
C (0.8146, 0.1189, 0.3043)  1 C 1.41
C (0.8146, 0.5103, 0.6957)  1 C 1.41
C (0.8908, 0.3908, 0.5000)  2 C 1.41

Values from the calculation:
Energy of formation from the pure elements (eV/atom): 0.260
Density of states at the Fermi level (states/eV/cell): 4.4
Calculated density (g/cm3): 12.15
E (eV per atom): -10.0591
Symmetry: I4mm
Calculated volume (A^3/atom): 11.3

---

6.
Compound: TaC3
Source: Alexandria via LeMat-Bulk
Functional: PBE
Structure: relaxed

Cell: 2.9137 2.9137 4.2127 Å, 90.00 90.00 90.00°
Closest atoms and distances in Å follow each position.
Fractional positions:
Ta (0.0000, 0.0000, 0.0000)  2 C 2.11
C (0.0000, 0.0000, 0.5000)  2 Ta 2.11, 8 C 2.19
C (0.5000, 0.5000, 0.3210)  1 C 1.51
C (0.5000, 0.5000, 0.6790)  1 C 1.51

Values from the calculation:
Distance to the lowest polymorph of the same formula (meV per atom): 970.4
Energy of formation from the pure elements (eV/atom): 1.558
Density of states at the Fermi level (states/eV/cell): 2.2
Calculated density (g/cm3): 10.07
E (eV per atom): -8.3226
Symmetry: P4/mmm
Calculated volume (A^3/atom): 8.9

---

7.
Compound: TaC
Source: Alexandria via LeMat-Bulk
Functional: PBE
Structure: relaxed

Cell: 3.7124 3.7124 4.4283 Å, 90.00 90.00 120.00°
Closest atoms and distances in Å follow each position.
Fractional positions:
Ta (0.3333, 0.6667, 0.2500)  5 C 2.14-2.21
Ta (0.6667, 0.3333, 0.7500)  5 C 2.14-2.21
C (0.3333, 0.6667, 0.7500)  5 Ta 2.14-2.21
C (0.6667, 0.3333, 0.2500)  5 Ta 2.14-2.21

Values from the calculation:
Distance to the lowest polymorph of the same formula (meV per atom): 161.6
Energy of formation from the pure elements (eV/atom): -0.416
Density of states at the Fermi level (states/eV/cell): 1.8
Calculated density (g/cm3): 12.12
E (eV per atom): -10.9541
Symmetry: P6_3/mmc
Calculated volume (A^3/atom): 13.2

---

8.
Compound: TaC2
Source: Alexandria via LeMat-Bulk
Functional: PBE
Structure: relaxed

Cell: 2.7996 2.7996 8.0817 Å, 90.00 90.00 120.00°
Closest atoms and distances in Å follow each position.
Fractional positions:
Ta (0.3333, 0.6667, 0.2500)  8 C 2.30-2.37
Ta (0.6667, 0.3333, 0.7500)  8 C 2.30-2.37
C (0.3333, 0.6667, 0.5351)  3 C 1.71
C (0.3333, 0.6667, 0.9649)  3 C 1.71
C (0.6667, 0.3333, 0.0351)  3 C 1.71
C (0.6667, 0.3333, 0.4649)  3 C 1.71

Values from the calculation:
Distance to the lowest polymorph of the same formula (meV per atom): 530.3
Energy of formation from the pure elements (eV/atom): 0.735
Density of states at the Fermi level (states/eV/cell): 1.0
Calculated density (g/cm3): 12.41
E (eV per atom): -9.3652
Symmetry: P6_3/mmc
Calculated volume (A^3/atom): 9.1

---

9.
Compound: TaC2
Source: Alexandria via LeMat-Bulk
Functional: PBE
Structure: relaxed

Cell: 4.2055 4.2055 5.8018 Å, 109.02 109.02 40.11°
Closest atoms and distances in Å follow each position.
Fractional positions:
Ta (0.0000, 0.0000, 0.0000)  6 C 2.20-2.33
Ta (0.1760, 0.1760, 0.6249)  6 C 2.17-2.39
C (0.4086, 0.4086, 0.4498)  1 C 1.39
C (0.5011, 0.5011, 0.2858)  1 C 1.39
C (0.6882, 0.6882, 0.9100)  5 Ta 2.17-2.33
C (0.8897, 0.8897, 0.5815)  2 C 1.66

Values from the calculation:
Distance to the lowest polymorph of the same formula (meV per atom): 184.7
Energy of formation from the pure elements (eV/atom): 0.389
Density of states at the Fermi level (states/eV/cell): 1.7
Calculated density (g/cm3): 10.98
E (eV per atom): -9.7108
Symmetry: Cm
Calculated volume (A^3/atom): 10.3

---

10.
Compound: Ta2C
Source: Alexandria via LeMat-Bulk
Functional: PBE
Structure: relaxed

Cell: 5.6225 5.6225 5.6225 Å, 31.37 31.37 31.37°
Closest atoms and distances in Å follow each position.
Fractional positions:
Ta (0.0000, 0.0000, 0.0000)  3 C 2.28
Ta (0.1768, 0.1768, 0.1768)  3 C 2.23
C (0.4239, 0.4239, 0.4239)  6 Ta 2.23-2.28

Values from the calculation:
Energy of formation from the pure elements (eV/atom): -0.126
Density of states at the Fermi level (states/eV/cell): 1.3
Calculated density (g/cm3): 14.52
E (eV per atom): -11.1023
Symmetry: R3m
Calculated volume (A^3/atom): 14.3

---

11.
Compound: TaC3
Source: Alexandria via LeMat-Bulk
Functional: PBE
Structure: relaxed

Cell: 3.6017 3.6017 2.9600 Å, 90.00 90.00 104.79°
Closest atoms and distances in Å follow each position.
Fractional positions:
Ta (0.0000, 0.0000, 0.0000)  10 C 2.20-2.33
C (0.0000, 0.5000, 0.5000)  6 C 2.20-2.33, 4 Ta 2.33
C (0.5000, 0.0000, 0.5000)  6 C 2.20-2.33, 4 Ta 2.33
C (0.5000, 0.5000, 0.0000)  2 Ta 2.20, 8 C 2.33

Values from the calculation:
Distance to the lowest polymorph of the same formula (meV per atom): 1361.7
Energy of formation from the pure elements (eV/atom): 1.950
Density of states at the Fermi level (states/eV/cell): 1.6
Calculated density (g/cm3): 9.71
E (eV per atom): -7.9313
Symmetry: Cmmm
Calculated volume (A^3/atom): 9.3

---

12.
Compound: TaC8
Source: Alexandria via LeMat-Bulk
Functional: PBE
Structure: relaxed

Cell: 8.5457 8.5457 8.5457 Å, 91.23 91.23 163.16°
Closest atoms and distances in Å follow each position.
Fractional positions:
Ta (0.0000, 0.0000, 0.0000)  2 Ta 2.50
C (0.0000, 0.4257, 0.4257)  5 C 1.77-1.78
C (0.0000, 0.5743, 0.5743)  5 C 1.77-1.78
C (0.2499, 0.2499, 0.4999)  2 C 1.25
C (0.2499, 0.7501, 0.0000)  2 C 1.25
C (0.4257, 0.0000, 0.4257)  5 C 1.77-1.78
C (0.5743, 0.0000, 0.5743)  5 C 1.77-1.78
C (0.7501, 0.2499, 0.0000)  2 C 1.25
C (0.7501, 0.7501, 0.5001)  2 C 1.25

Values from the calculation:
Energy of formation from the pure elements (eV/atom): 2.496
Density of states at the Fermi level (states/eV/cell): 6.4
Calculated density (g/cm3): 2.57
E (eV per atom): -7.0204
Symmetry: I4/mmm
Calculated volume (A^3/atom): 19.9